Entry 1:
Computed, not measured: crystalline K11Rb17Sr at its relaxed geometry at the PBE level of DFT.

- Uncorrected energy: -1.01 eV per atom
- Space group: Cm, No. 8
- DOS(E_F): 24.10 states/eV/cell
- M_tot: 0.0000 μB/atom
- Calculated formation energy: 0.027 eV/atom

```
K11Rb17Sr
1.0
-13.788 -1.988 -4.650
8.079 -11.855 -3.145
-0.021 2.140 14.330
Rb K Sr
17 11 1
Direct
0.403 0.717 0.402
0.000 0.000 0.358
0.318 0.591 0.003
0.639 0.639 0.634
0.279 0.686 0.688
0.317 0.998 0.594
0.717 0.403 0.402
0.686 0.279 0.688
0.998 0.317 0.594
0.591 0.318 0.003
0.355 0.007 0.002
0.409 0.409 0.725
0.683 0.683 0.278
0.007 0.355 0.002
0.592 0.999 0.315
0.006 0.006 0.003
0.999 0.592 0.315
0.187 0.817 0.187
0.185 0.370 0.371
0.817 0.187 0.187
0.813 0.000 0.629
0.632 0.814 0.000
0.629 0.001 0.813
0.000 0.813 0.629
0.001 0.629 0.813
0.185 0.185 0.813
0.370 0.185 0.371
0.814 0.632 0.000
0.370 0.370 0.184
```


Entry 2:
Computed, not measured: crystalline KRb2Sr at its relaxed geometry at the PBE level of DFT.

- Uncorrected energy: -1.05 eV per atom
- Space group: Fm-3m, No. 225
- DOS(E_F): 3.67 states/eV/cell
- M_tot: 0.0000 μB/atom
- Calculated formation energy: 0.131 eV/atom
- E above lowest polymorph: 51 meV/atom

```
KRb2Sr
1.0
7.544 0.000 0.000
3.772 6.533 0.000
3.772 2.178 6.160
Rb K Sr
2 1 1
Direct
0.750 0.750 0.750
0.250 0.250 0.250
0.000 0.000 0.000
0.500 0.500 0.500
```


Entry 3:
Computed, not measured: crystalline KRb2Sr at its relaxed geometry at the PBE level of DFT.

- Uncorrected energy: -1.10 eV per atom
- Space group: R3m, No. 160
- DOS(E_F): 4.56 states/eV/cell
- M_tot: 0.0000 μB/atom
- Calculated formation energy: 0.081 eV/atom
- E above lowest polymorph: 0 meV/atom

```
KRb2Sr
1.0
4.622 0.000 0.000
2.311 4.002 0.000
2.311 1.334 15.913
K Sr Rb
1 1 2
Direct
0.667 0.667 0.000
0.500 0.500 0.500
0.248 0.248 0.257
0.086 0.086 0.743
```


Entry 4:
Computed, not measured: crystalline K6Rb2Sr at its relaxed geometry at the PBE level of DFT.

- Uncorrected energy: -1.09 eV per atom
- Space group: P-6m2, No. 187
- DOS(E_F): 8.70 states/eV/cell
- M_tot: 0.0010 μB/atom
- Calculated formation energy: 0.044 eV/atom

```
K6Rb2Sr
1.0
-3.900 -2.138 1.314
3.911 -0.620 2.414
-8.283 27.728 20.536
Rb K Sr
2 6 1
Direct
0.667 0.333 0.673
0.667 0.333 0.327
0.333 0.667 0.788
0.333 0.667 0.212
0.667 0.333 0.103
0.333 0.667 0.560
0.667 0.333 0.897
0.333 0.667 0.440
0.333 0.667 0.000
```


Entry 5:
Computed, not measured: crystalline K14RbSr at its relaxed geometry at the PBE level of DFT.

- Uncorrected energy: -1.09 eV per atom
- Space group: Cmmm, No. 65
- DOS(E_F): 14.10 states/eV/cell
- M_tot: 0.0000 μB/atom
- Calculated formation energy: 0.032 eV/atom

```
K14RbSr
1.0
10.715 -0.020 0.000
0.026 10.715 0.000
0.000 0.000 9.999
K Rb Sr
14 1 1
Direct
0.375 0.875 0.500
0.130 0.130 0.751
0.620 0.130 0.249
0.875 0.875 0.000
0.130 0.620 0.751
0.375 0.875 0.000
0.620 0.130 0.751
0.130 0.130 0.249
0.620 0.620 0.249
0.875 0.375 0.500
0.130 0.620 0.249
0.620 0.620 0.751
0.875 0.375 0.000
0.375 0.375 0.000
0.875 0.875 0.500
0.375 0.375 0.500
```


Entry 6:
Computed, not measured: crystalline K2RbSr2 at its relaxed geometry at the PBE level of DFT.

- Uncorrected energy: -1.14 eV per atom
- Space group: P4/mbm, No. 127
- DOS(E_F): 6.65 states/eV/cell
- M_tot: 0.0000 μB/atom
- Calculated formation energy: 0.164 eV/atom
- E above lowest polymorph: 0 meV/atom

```
K2RbSr2
1.0
12.518 0.000 0.000
0.000 12.518 0.000
0.000 0.000 4.535
K Rb Sr
4 2 4
Direct
0.676 0.824 0.500
0.824 0.324 0.500
0.176 0.676 0.500
0.324 0.176 0.500
0.500 0.500 0.000
0.000 0.000 0.000
0.117 0.383 0.000
0.617 0.117 0.000
0.883 0.617 0.000
0.383 0.883 0.000
```


Entry 7:
Computed, not measured: crystalline KRbSr4 at its relaxed geometry at the PBE level of DFT.

- Uncorrected energy: -1.32 eV per atom
- Space group: F-43m, No. 216
- DOS(E_F): 4.26 states/eV/cell
- M_tot: 0.0000 μB/atom
- Calculated formation energy: 0.148 eV/atom

```
KRbSr4
1.0
8.279 0.000 0.000
4.139 7.169 0.000
4.139 2.390 6.759
Sr K Rb
4 1 1
Direct
0.625 0.125 0.625
0.125 0.625 0.625
0.625 0.625 0.125
0.625 0.625 0.625
0.000 0.000 0.000
0.250 0.250 0.250
```


Entry 8:
Computed, not measured: crystalline K4Rb5Sr at its relaxed geometry at the PBE level of DFT.

- Uncorrected energy: -1.05 eV per atom
- Space group: P4/mmm, No. 123
- DOS(E_F): 8.58 states/eV/cell
- M_tot: 0.0000 μB/atom
- Calculated formation energy: 0.043 eV/atom

```
K4Rb5Sr
1.0
4.671 0.000 0.000
0.000 4.671 0.000
0.000 0.000 35.827
K Sr Rb
4 1 5
Direct
0.000 0.000 0.195
0.000 0.000 0.398
0.000 0.000 0.805
0.000 0.000 0.602
0.000 0.000 0.000
0.500 0.500 0.704
0.500 0.500 0.500
0.500 0.500 0.906
0.500 0.500 0.296
0.500 0.500 0.094
```


Entry 9:
Computed, not measured: crystalline K4Rb15Sr at its relaxed geometry at the PBE level of DFT.

- Uncorrected energy: -1.00 eV per atom
- Space group: P4/mmm, No. 123
- DOS(E_F): 17.17 states/eV/cell
- M_tot: 0.0000 μB/atom
- Calculated formation energy: 0.031 eV/atom

```
K4Rb15Sr
1.0
-4.508 -5.213 -1.731
5.480 -4.422 -0.954
-1.781 -9.161 32.239
Rb K Sr
15 4 1
Direct
0.500 0.000 0.500
0.000 0.500 0.702
0.500 0.000 0.702
0.000 0.500 0.298
0.000 0.500 0.096
0.500 0.000 0.298
0.500 0.500 0.000
0.500 0.500 0.197
0.500 0.500 0.601
0.500 0.000 0.096
0.000 0.500 0.904
0.000 0.500 0.500
0.500 0.500 0.803
0.500 0.500 0.399
0.500 0.000 0.904
0.000 0.000 0.804
0.000 0.000 0.196
0.000 0.000 0.399
0.000 0.000 0.601
0.000 0.000 0.000
```


Entry 10:
Computed, not measured: crystalline K17Rb11Sr at its relaxed geometry at the PBE level of DFT.

- Uncorrected energy: -1.03 eV per atom
- Space group: Cm, No. 8
- DOS(E_F): 23.47 states/eV/cell
- M_tot: 0.0000 μB/atom
- Calculated formation energy: 0.041 eV/atom

```
K17Rb11Sr
1.0
-5.998 -7.014 11.125
2.605 -9.321 -10.736
12.366 6.415 4.189
K Rb Sr
17 11 1
Direct
0.012 0.012 0.006
0.321 0.586 0.005
0.001 0.594 0.315
0.363 0.014 0.008
0.404 0.714 0.399
0.000 0.000 0.363
0.406 0.406 0.724
0.998 0.316 0.591
0.714 0.404 0.399
0.586 0.321 0.005
0.679 0.679 0.272
0.316 0.998 0.591
0.274 0.686 0.687
0.014 0.363 0.008
0.686 0.274 0.687
0.630 0.630 0.626
0.594 0.001 0.315
0.814 0.197 0.195
0.382 0.191 0.383
0.807 0.620 0.998
0.620 0.001 0.807
0.804 0.998 0.618
0.001 0.620 0.807
0.191 0.382 0.383
0.998 0.804 0.618
0.620 0.807 0.998
0.197 0.814 0.195
0.193 0.193 0.810
0.377 0.377 0.188
```


Entry 11:
Computed, not measured: crystalline KRb2Sr at its relaxed geometry at the PBE level of DFT.

- Uncorrected energy: -1.04 eV per atom
- Space group: R-3m, No. 166
- DOS(E_F): 4.13 states/eV/cell
- M_tot: 0.0000 μB/atom
- Calculated formation energy: 0.135 eV/atom
- E above lowest polymorph: 54 meV/atom

```
KRb2Sr
1.0
4.538 0.000 0.000
2.269 3.930 0.000
2.269 1.310 16.901
Sr K Rb
1 1 2
Direct
0.000 0.000 0.000
0.500 0.500 0.500
0.085 0.085 0.744
0.915 0.915 0.256
```


Entry 12:
Computed, not measured: crystalline KRb2Sr2 at its relaxed geometry at the PBE level of DFT.

- Uncorrected energy: -1.07 eV per atom
- Space group: I4/mmm, No. 139
- DOS(E_F): 4.91 states/eV/cell
- M_tot: 0.0000 μB/atom
- Calculated formation energy: 0.212 eV/atom
- E above lowest polymorph: 11 meV/atom

```
KRb2Sr2
1.0
-4.658 -3.123 -0.319
2.015 -2.537 -4.589
3.946 -11.410 4.601
Rb Sr K
2 2 1
Direct
0.399 0.399 0.203
0.601 0.601 0.797
0.250 0.750 0.500
0.750 0.250 0.500
0.000 0.000 0.000
```